[1]
Material: BaTmTc
Method: DFT, GGA-PBE
State: relaxed

```
data_BaTmTc
_cell_length_a 7.055
_cell_length_b 7.055
_cell_length_c 7.055
_cell_angle_alpha 90.00
_cell_angle_beta 90.00
_cell_angle_gamma 90.00
_space_group_name_H-M_alt 'F -4 3 m'
_space_group_IT_number 216
_space_group_name_Hall 'F -4 2 3'
loop_
_atom_site_label
_atom_site_fract_x
_atom_site_fract_y
_atom_site_fract_z
Ba1 0.000 0.000 0.000
Tm1 0.250 0.250 0.250
Tc1 0.000 0.000 0.500
```

Properties
V   29.3 A^3/atom
Total moment   0.19 μB/atom
Energy above the lowest structure with this stoichiometry   0.000 kcal/mol of atoms

[2]
Material: BaTcW2
Method: DFT, GGA-PBE
State: relaxed

```
data_BaTcW2
_cell_length_a 6.738
_cell_length_b 6.738
_cell_length_c 6.738
_cell_angle_alpha 90.00
_cell_angle_beta 90.00
_cell_angle_gamma 90.00
_space_group_name_H-M_alt 'F -4 3 m'
_space_group_IT_number 216
_space_group_name_Hall 'F -4 2 3'
loop_
_atom_site_label
_atom_site_fract_x
_atom_site_fract_y
_atom_site_fract_z
Ba1 0.000 0.000 0.000
Tc1 0.250 0.250 0.750
W1 0.000 0.000 0.500
W2 0.250 0.250 0.250
```

Properties
V   19.1 A^3/atom
Total moment   0.00 μB/atom
Raw total energy   -8.18 eV/atom

[3]
Material: BaZnTc
Method: DFT, GGA-PBE
State: relaxed

```
data_BaZnTc
_cell_length_a 6.778
_cell_length_b 6.778
_cell_length_c 6.778
_cell_angle_alpha 90.00
_cell_angle_beta 90.00
_cell_angle_gamma 90.00
_space_group_name_H-M_alt 'F -4 3 m'
_space_group_IT_number 216
_space_group_name_Hall 'F -4 2 3'
loop_
_atom_site_label
_atom_site_fract_x
_atom_site_fract_y
_atom_site_fract_z
Ba1 0.000 0.000 0.000
Zn1 0.000 0.000 0.500
Tc1 0.250 0.250 0.250
```

Properties
V   26.0 A^3/atom
Total moment   0.33 μB/atom
Energy above the lowest structure with this stoichiometry   0.000 kcal/mol of atoms

[4]
Material: BaZn2Tc
Method: DFT, GGA-PBE
State: relaxed

```
data_BaZn2Tc
_cell_length_a 6.961
_cell_length_b 6.961
_cell_length_c 6.961
_cell_angle_alpha 90.00
_cell_angle_beta 90.00
_cell_angle_gamma 90.00
_space_group_name_H-M_alt 'F -4 3 m'
_space_group_IT_number 216
_space_group_name_Hall 'F -4 2 3'
loop_
_atom_site_label
_atom_site_fract_x
_atom_site_fract_y
_atom_site_fract_z
Ba1 0.000 0.000 0.000
Zn1 0.000 0.000 0.500
Zn2 0.250 0.250 0.250
Tc1 0.250 0.250 0.750
```

Properties
V   21.1 A^3/atom
Total moment   0.22 μB/atom
Raw total energy   -2.91 eV/atom

[5]
Material: BaZnTc2
Method: DFT, GGA-PBE
State: relaxed

```
data_BaZnTc2
_cell_length_a 6.813
_cell_length_b 6.813
_cell_length_c 6.813
_cell_angle_alpha 90.00
_cell_angle_beta 90.00
_cell_angle_gamma 90.00
_space_group_name_H-M_alt 'F -4 3 m'
_space_group_IT_number 216
_space_group_name_Hall 'F -4 2 3'
loop_
_atom_site_label
_atom_site_fract_x
_atom_site_fract_y
_atom_site_fract_z
Ba1 0.000 0.000 0.000
Zn1 0.250 0.250 0.250
Tc1 0.000 0.000 0.500
Tc2 0.250 0.250 0.750
```

Properties
V   19.8 A^3/atom
Total moment   0.00 μB/atom
Raw total energy   -4.99 eV/atom

[6]
Material: BaZr2Tc
Method: DFT, GGA-PBE
State: relaxed

```
data_BaZr2Tc
_cell_length_a 7.221
_cell_length_b 7.221
_cell_length_c 7.221
_cell_angle_alpha 90.00
_cell_angle_beta 90.00
_cell_angle_gamma 90.00
_space_group_name_H-M_alt 'F -4 3 m'
_space_group_IT_number 216
_space_group_name_Hall 'F -4 2 3'
loop_
_atom_site_label
_atom_site_fract_x
_atom_site_fract_y
_atom_site_fract_z
Ba1 0.000 0.000 0.000
Zr1 0.000 0.000 0.500
Zr2 0.250 0.250 0.750
Tc1 0.250 0.250 0.250
```

Properties
V   23.5 A^3/atom
Total moment   0.43 μB/atom
Raw total energy   -6.55 eV/atom

[7]
Material: Ba2ZrTc
Method: DFT, GGA-PBE
State: relaxed

```
data_Ba2ZrTc
_cell_length_a 7.645
_cell_length_b 7.645
_cell_length_c 7.645
_cell_angle_alpha 90.00
_cell_angle_beta 90.00
_cell_angle_gamma 90.00
_space_group_name_H-M_alt 'F -4 3 m'
_space_group_IT_number 216
_space_group_name_Hall 'F -4 2 3'
loop_
_atom_site_label
_atom_site_fract_x
_atom_site_fract_y
_atom_site_fract_z
Ba1 0.000 0.000 0.000
Ba2 0.250 0.250 0.250
Zr1 0.250 0.250 0.750
Tc1 0.000 0.000 0.500
```

Properties
V   27.9 A^3/atom
Total moment   0.01 μB/atom
Raw total energy   -4.75 eV/atom

[8]
Material: Ba2ThTe4
Method: DFT, GGA-PBE
State: relaxed

```
data_Ba2ThTe4
_cell_length_a 8.709
_cell_length_b 13.985
_cell_length_c 4.866
_cell_angle_alpha 90.00
_cell_angle_beta 90.00
_cell_angle_gamma 90.00
_space_group_name_H-M_alt 'P b a m'
_space_group_IT_number 55
_space_group_name_Hall '-P 2 2ab'
loop_
_atom_site_label
_atom_site_fract_x
_atom_site_fract_y
_atom_site_fract_z
Ba1 0.091 0.182 0.000
Th1 0.000 0.500 0.500
Te1 0.129 0.706 0.500
Te2 0.226 0.449 0.000
```

Properties
V   42.3 A^3/atom
Total moment   0.00 μB/atom
Raw total energy   -4.94 eV/atom

[9]
Material: BaThTe
Method: DFT, GGA-PBE
State: relaxed

```
data_BaThTe
_cell_length_a 7.761
_cell_length_b 7.761
_cell_length_c 7.761
_cell_angle_alpha 90.00
_cell_angle_beta 90.00
_cell_angle_gamma 90.00
_space_group_name_H-M_alt 'F -4 3 m'
_space_group_IT_number 216
_space_group_name_Hall 'F -4 2 3'
loop_
_atom_site_label
_atom_site_fract_x
_atom_site_fract_y
_atom_site_fract_z
Ba1 0.000 0.000 0.000
Th1 0.000 0.000 0.500
Te1 0.250 0.250 0.250
```

Properties
V   39.0 A^3/atom
Total moment   0.49 μB/atom
Raw total energy   -4.39 eV/atom

[10]
Material: BaThTe4
Method: DFT, GGA-PBE
State: relaxed

```
data_BaThTe4
_cell_length_a 16.353
_cell_length_b 6.515
_cell_length_c 10.562
_cell_angle_alpha 90.00
_cell_angle_beta 129.24
_cell_angle_gamma 90.00
_space_group_name_H-M_alt 'C 1 2/m 1'
_space_group_IT_number 12
_space_group_name_Hall '-C 2y'
loop_
_atom_site_label
_atom_site_fract_x
_atom_site_fract_y
_atom_site_fract_z
Ba1 0.098 0.000 0.303
Th1 0.141 0.500 0.780
Te1 0.102 0.000 0.653
Te2 0.111 0.500 0.447
Te3 0.143 0.250 0.045
```

Properties
V   36.3 A^3/atom
Total moment   0.00 μB/atom
Raw total energy   -4.90 eV/atom

[11]
Material: BaTmTe
Method: DFT, GGA-PBE
State: relaxed

```
data_BaTmTe
_cell_length_a 7.663
_cell_length_b 7.663
_cell_length_c 7.663
_cell_angle_alpha 90.00
_cell_angle_beta 90.00
_cell_angle_gamma 90.00
_space_group_name_H-M_alt 'F -4 3 m'
_space_group_IT_number 216
_space_group_name_Hall 'F -4 2 3'
loop_
_atom_site_label
_atom_site_fract_x
_atom_site_fract_y
_atom_site_fract_z
Ba1 0.000 0.000 0.000
Tm1 0.000 0.000 0.500
Te1 0.250 0.250 0.250
```

Properties
V   37.5 A^3/atom
Total moment   0.02 μB/atom
Energy above the lowest structure with this stoichiometry   0.000 kcal/mol of atoms

[12]
Material: BaUTe4
Method: DFT, GGA-PBE
State: relaxed

```
data_BaUTe4
_cell_length_a 16.334
_cell_length_b 6.337
_cell_length_c 10.543
_cell_angle_alpha 90.00
_cell_angle_beta 129.55
_cell_angle_gamma 90.00
_space_group_name_H-M_alt 'C 1 2/m 1'
_space_group_IT_number 12
_space_group_name_Hall '-C 2y'
loop_
_atom_site_label
_atom_site_fract_x
_atom_site_fract_y
_atom_site_fract_z
Ba1 0.101 0.000 0.306
U1 0.142 0.500 0.781
Te1 0.100 0.000 0.659
Te2 0.108 0.500 0.451
Te3 0.144 0.250 0.043
```

Properties
V   35.1 A^3/atom
Total moment   0.37 μB/atom
Raw total energy   -5.24 eV/atom

[13]
Material: BaU2Te5
Method: DFT, GGA-PBE
State: relaxed

```
data_BaU2Te5
_cell_length_a 8.306
_cell_length_b 8.306
_cell_length_c 15.119
_cell_angle_alpha 90.00
_cell_angle_beta 90.00
_cell_angle_gamma 90.00
_space_group_name_H-M_alt 'I 4/m c m'
_space_group_IT_number 140
_space_group_name_Hall '-I 4 2c'
loop_
_atom_site_label
_atom_site_fract_x
_atom_site_fract_y
_atom_site_fract_z
Ba1 0.000 0.000 0.250
U1 0.150 0.350 0.000
Te1 0.000 0.000 0.000
Te2 0.150 0.350 0.366
```

Properties
V   32.6 A^3/atom
Total moment   0.50 μB/atom
Raw total energy   -5.98 eV/atom